The following is a PBE calculation of a relaxed structure of ZnSi2HgP, from Alexandria via LeMat-Bulk.

Summary:
**Formation energy without anion corrections**: 1.2659 eV/atom

abc: 5.008 5.008 4.829
angles: 90.00 90.00 90.00
Positions (direct):
Zn 0.000 0.000 0.000
Si 0.000 0.500 0.500
Si 0.500 0.000 0.500
Hg 0.000 0.000 0.500
P 0.500 0.500 0.000

The following is a PBE calculation of a relaxed structure of Sm3HgP, from Alexandria via LeMat-Bulk.

Summary:
**Formation enthalpy at 0 K**: -3.990 eV per formula unit

abc: 9.047 4.017 15.686
angles: 90.00 90.00 90.00
Positions (direct):
Sm 0.017 0.250 0.106
Sm 0.159 0.250 0.534
Sm 0.172 0.750 0.298
Sm 0.328 0.250 0.798
Sm 0.341 0.750 0.034
Sm 0.483 0.750 0.606
Sm 0.517 0.250 0.394
Sm 0.659 0.250 0.966
Sm 0.672 0.750 0.202
Sm 0.828 0.250 0.702
Sm 0.841 0.750 0.466
Sm 0.983 0.750 0.894
Hg 0.112 0.750 0.691
Hg 0.388 0.250 0.191
Hg 0.612 0.750 0.809
Hg 0.888 0.250 0.309
P 0.176 0.250 0.951
P 0.324 0.750 0.451
P 0.676 0.250 0.549
P 0.824 0.750 0.049

The following is a PBE calculation of a relaxed structure of Sm3HgP2, from Alexandria via LeMat-Bulk.

Summary:
**Formation enthalpy at 0 K**: -5.077 eV per formula unit

abc: 6.885 6.885 10.427
angles: 90.00 90.00 138.92
Positions (direct):
Sm 0.093 0.907 0.750
Sm 0.373 0.627 0.549
Sm 0.373 0.627 0.951
Sm 0.627 0.373 0.049
Sm 0.627 0.373 0.451
Sm 0.907 0.093 0.250
Hg 0.234 0.766 0.250
Hg 0.766 0.234 0.750
P 0.000 0.000 0.000
P 0.000 0.000 0.500
P 0.494 0.506 0.250
P 0.506 0.494 0.750

The following is a PBE calculation of a relaxed structure of Sm8HgTe4P3, from Alexandria via LeMat-Bulk.

Summary:
**Formation energy without anion corrections**: -1.3824 eV/atom

abc: 8.704 8.704 8.704
angles: 58.85 58.85 58.85
Positions (direct):
Sm 0.229 0.747 0.747
Sm 0.237 0.237 0.237
Sm 0.253 0.253 0.771
Sm 0.253 0.771 0.253
Sm 0.747 0.229 0.747
Sm 0.747 0.747 0.229
Sm 0.763 0.763 0.763
Sm 0.771 0.253 0.253
Hg 0.500 0.500 0.500
Te 0.000 0.000 0.000
Te 0.000 0.500 0.500
Te 0.500 0.000 0.500
Te 0.500 0.500 0.000
P 0.000 0.000 0.500
P 0.000 0.500 0.000
P 0.500 0.000 0.000

The following is a PBE calculation of a relaxed structure of Sm4HgTe2P, from Alexandria via LeMat-Bulk.

Summary:
**Formation energy without anion corrections**: -1.2003 eV/atom

abc: 7.558 4.247 7.651
angles: 90.00 108.28 90.00
Positions (direct):
Sm 0.221 0.000 0.226
Sm 0.235 0.500 0.758
Sm 0.765 0.500 0.242
Sm 0.779 0.000 0.774
Hg 0.000 0.000 0.500
Te 0.500 0.000 0.000
Te 0.500 0.500 0.500
P 0.000 0.500 0.000

The following is a PBE calculation of a relaxed structure of SnHg3P, from Alexandria via LeMat-Bulk.

Summary:
**Formation enthalpy at 0 K**: 3.513 eV per formula unit
**Polymorph energy (0 for the lowest one)**: 0.295 eV per atom

abc: 5.605 5.605 5.605
angles: 90.00 90.00 90.00
Positions (direct):
Sn 0.000 0.000 0.000
Hg 0.000 0.000 0.500
Hg 0.000 0.500 0.000
Hg 0.500 0.000 0.000
P 0.500 0.500 0.500

The following is a PBE calculation of a relaxed structure of Sn12Hg3P5, from Alexandria via LeMat-Bulk.

Summary:
**Formation enthalpy at 0 K**: 3.563 eV per formula unit

abc: 14.414 14.414 14.414
angles: 109.47 109.47 109.47
Positions (direct):
Sn 0.048 0.226 0.123
Sn 0.048 0.322 0.925
Sn 0.075 0.623 0.397
Sn 0.075 0.952 0.678
Sn 0.103 0.726 0.678
Sn 0.103 0.877 0.425
Sn 0.123 0.048 0.226
Sn 0.123 0.575 0.897
Sn 0.178 0.226 0.603
Sn 0.178 0.452 0.575
Sn 0.226 0.123 0.048
Sn 0.226 0.603 0.178
Sn 0.274 0.322 0.897
Sn 0.274 0.452 0.377
Sn 0.322 0.897 0.274
Sn 0.322 0.925 0.048
Sn 0.377 0.274 0.452
Sn 0.377 0.603 0.925
Sn 0.397 0.075 0.623
Sn 0.397 0.822 0.774
Sn 0.425 0.103 0.877
Sn 0.425 0.822 0.548
Sn 0.452 0.377 0.274
Sn 0.452 0.575 0.178
Sn 0.548 0.425 0.822
Sn 0.548 0.623 0.726
Sn 0.575 0.178 0.452
Sn 0.575 0.897 0.123
Sn 0.603 0.178 0.226
Sn 0.603 0.925 0.377
Sn 0.623 0.397 0.075
Sn 0.623 0.726 0.548
Sn 0.678 0.075 0.952
Sn 0.678 0.103 0.726
Sn 0.726 0.548 0.623
Sn 0.726 0.678 0.103
Sn 0.774 0.397 0.822
Sn 0.774 0.877 0.952
Sn 0.822 0.548 0.425
Sn 0.822 0.774 0.397
Sn 0.877 0.425 0.103
Sn 0.877 0.952 0.774
Sn 0.897 0.123 0.575
Sn 0.897 0.274 0.322
Sn 0.925 0.048 0.322
Sn 0.925 0.377 0.603
Sn 0.952 0.678 0.075
Sn 0.952 0.774 0.877
Hg 0.125 0.250 0.375
Hg 0.125 0.375 0.750
Hg 0.250 0.375 0.125
Hg 0.250 0.875 0.625
Hg 0.375 0.125 0.250
Hg 0.375 0.750 0.125
Hg 0.625 0.250 0.875
Hg 0.625 0.875 0.750
Hg 0.750 0.125 0.375
Hg 0.750 0.625 0.875
Hg 0.875 0.625 0.250
Hg 0.875 0.750 0.625
P 0.000 0.000 0.000
P 0.000 0.000 0.500
P 0.000 0.500 0.000
P 0.000 0.500 0.500
P 0.125 0.750 0.875
P 0.125 0.875 0.250
P 0.250 0.125 0.875
P 0.250 0.625 0.375
P 0.375 0.250 0.625
P 0.375 0.625 0.750
P 0.500 0.000 0.000
P 0.500 0.000 0.500
P 0.500 0.500 0.000
P 0.500 0.500 0.500
P 0.625 0.375 0.250
P 0.625 0.750 0.375
P 0.750 0.375 0.625
P 0.750 0.875 0.125
P 0.875 0.125 0.750
P 0.875 0.250 0.125

The following is a PBE calculation of a relaxed structure of Sn5Hg12P3, from Alexandria via LeMat-Bulk.

Summary:
**Formation enthalpy at 0 K**: 4.875 eV per formula unit

abc: 14.406 14.406 14.406
angles: 109.47 109.47 109.47
Positions (direct):
Sn 0.000 0.000 0.000
Sn 0.000 0.000 0.500
Sn 0.000 0.500 0.000
Sn 0.000 0.500 0.500
Sn 0.125 0.750 0.875
Sn 0.125 0.875 0.250
Sn 0.250 0.125 0.875
Sn 0.250 0.625 0.375
Sn 0.375 0.250 0.625
Sn 0.375 0.625 0.750
Sn 0.500 0.000 0.000
Sn 0.500 0.000 0.500
Sn 0.500 0.500 0.000
Sn 0.500 0.500 0.500
Sn 0.625 0.375 0.250
Sn 0.625 0.750 0.375
Sn 0.750 0.375 0.625
Sn 0.750 0.875 0.125
Sn 0.875 0.125 0.750
Sn 0.875 0.250 0.125
Hg 0.059 0.627 0.385
Hg 0.059 0.932 0.674
Hg 0.068 0.242 0.127
Hg 0.068 0.326 0.941
Hg 0.115 0.742 0.674
Hg 0.115 0.873 0.441
Hg 0.127 0.068 0.242
Hg 0.127 0.559 0.885
Hg 0.174 0.242 0.615
Hg 0.174 0.432 0.559
Hg 0.242 0.127 0.068
Hg 0.242 0.615 0.174
Hg 0.258 0.326 0.885
Hg 0.258 0.432 0.373
Hg 0.326 0.885 0.258
Hg 0.326 0.941 0.068
Hg 0.373 0.258 0.432
Hg 0.373 0.615 0.941
Hg 0.385 0.059 0.627
Hg 0.385 0.826 0.758
Hg 0.432 0.373 0.258
Hg 0.432 0.559 0.174
Hg 0.441 0.115 0.873
Hg 0.441 0.826 0.568
Hg 0.559 0.174 0.432
Hg 0.559 0.885 0.127
Hg 0.568 0.441 0.826
Hg 0.568 0.627 0.742
Hg 0.615 0.174 0.242
Hg 0.615 0.941 0.373
Hg 0.627 0.385 0.059
Hg 0.627 0.742 0.568
Hg 0.674 0.059 0.932
Hg 0.674 0.115 0.742
Hg 0.742 0.568 0.627
Hg 0.742 0.674 0.115
Hg 0.758 0.385 0.826
Hg 0.758 0.873 0.932
Hg 0.826 0.568 0.441
Hg 0.826 0.758 0.385
Hg 0.873 0.441 0.115
Hg 0.873 0.932 0.758
Hg 0.885 0.127 0.559
Hg 0.885 0.258 0.326
Hg 0.932 0.674 0.059
Hg 0.932 0.758 0.873
Hg 0.941 0.068 0.326
Hg 0.941 0.373 0.615
P 0.125 0.250 0.375
P 0.125 0.375 0.750
P 0.250 0.375 0.125
P 0.250 0.875 0.625
P 0.375 0.125 0.250
P 0.375 0.750 0.125
P 0.625 0.250 0.875
P 0.625 0.875 0.750
P 0.750 0.125 0.375
P 0.750 0.625 0.875
P 0.875 0.625 0.250
P 0.875 0.750 0.625

The records above yield size of the total moment values of 0.0 0.0 0.0 0.0 0.0 2.2 0.0 0.0 μB/cell, respectively.
The records above yield calculated density values of 4.84 7.95 7.30 7.34 7.75 7.09 6.28 8.93 Mg/m³, respectively.